(1)
The following is a PBE-GGA calculation of an optimized crystal structure of KPrPuBr6, from Alexandria via LeMat-Bulk.

Geometry as CIF:
```
data_KPrPuBr6
_cell_length_a 7.6014
_cell_length_b 7.6014
_cell_length_c 14.6128
_cell_angle_alpha 90.00
_cell_angle_beta 90.00
_cell_angle_gamma 120.00
_symmetry_space_group_name_H-M 'P 1'
_symmetry_Int_Tables_number 1
_symmetry_space_group_name_Hall 'P 1'
loop_
_atom_site_label
_atom_site_type_symbol
_atom_site_fract_x
_atom_site_fract_y
_atom_site_fract_z
K1 K 0.0000 0.0000 0.0000
K2 K 0.0000 0.0000 0.5000
Pr1 Pr 0.3333 0.6667 0.2500
Pr2 Pr 0.6667 0.3333 0.7500
Pu1 Pu 0.3333 0.6667 0.7500
Pu2 Pu 0.6667 0.3333 0.2500
Br1 Br 0.0034 0.3628 0.1340
Br2 Br 0.0034 0.6406 0.3660
Br3 Br 0.3594 0.3628 0.3660
Br4 Br 0.3594 0.9966 0.1340
Br5 Br 0.3628 0.0034 0.6340
Br6 Br 0.3628 0.3594 0.8660
Br7 Br 0.6372 0.6406 0.1340
Br8 Br 0.6372 0.9966 0.3660
Br9 Br 0.6406 0.0034 0.8660
Br10 Br 0.6406 0.6372 0.6340
Br11 Br 0.9966 0.3594 0.6340
Br12 Br 0.9966 0.6372 0.8660
```

Output
- Energy: -5.0705 eV/atom

(2)
The following is a PBE-GGA calculation of an optimized crystal structure of KRb2PrBr6, from Alexandria via LeMat-Bulk.

Geometry as CIF:
```
data_KRb2PrBr6
_cell_length_a 8.1762
_cell_length_b 8.6587
_cell_length_c 14.0961
_cell_angle_alpha 90.00
_cell_angle_beta 124.16
_cell_angle_gamma 90.00
_symmetry_space_group_name_H-M 'P 1'
_symmetry_Int_Tables_number 1
_symmetry_space_group_name_Hall 'P 1'
loop_
_atom_site_label
_atom_site_type_symbol
_atom_site_fract_x
_atom_site_fract_y
_atom_site_fract_z
K1 K 0.0000 0.0000 0.0000
K2 K 0.0000 0.5000 0.5000
Rb1 Rb 0.2154 0.0754 0.7442
Rb2 Rb 0.2154 0.4246 0.2442
Rb3 Rb 0.7846 0.5754 0.7558
Rb4 Rb 0.7846 0.9246 0.2558
Pr1 Pr 0.5000 0.0000 0.5000
Pr2 Pr 0.5000 0.5000 0.0000
Br1 Br 0.1570 0.1847 0.4448
Br2 Br 0.1570 0.3153 0.9448
Br3 Br 0.2558 0.7195 0.4315
Br4 Br 0.2558 0.7805 0.9315
Br5 Br 0.3876 0.0462 0.2649
Br6 Br 0.3876 0.4538 0.7649
Br7 Br 0.6124 0.5462 0.2351
Br8 Br 0.6124 0.9538 0.7351
Br9 Br 0.7442 0.2195 0.0685
Br10 Br 0.7442 0.2805 0.5685
Br11 Br 0.8430 0.6847 0.0552
Br12 Br 0.8430 0.8153 0.5552
```

Output
- Energy: -3.6213 eV/atom

(3)
The following is a PBE-GGA calculation of an optimized crystal structure of K2RbPrBr6, from Alexandria via LeMat-Bulk.

Geometry as CIF:
```
data_K2RbPrBr6
_cell_length_a 8.6821
_cell_length_b 8.6821
_cell_length_c 8.6821
_cell_angle_alpha 56.83
_cell_angle_beta 56.83
_cell_angle_gamma 56.83
_symmetry_space_group_name_H-M 'P 1'
_symmetry_Int_Tables_number 1
_symmetry_space_group_name_Hall 'P 1'
loop_
_atom_site_label
_atom_site_type_symbol
_atom_site_fract_x
_atom_site_fract_y
_atom_site_fract_z
K1 K 0.0000 0.0000 0.0000
K2 K 0.4897 0.4897 0.4897
Rb1 Rb 0.2038 0.2038 0.2038
Pr1 Pr 0.6937 0.6937 0.6937
Br1 Br 0.0486 0.4440 0.7973
Br2 Br 0.3311 0.8818 0.6091
Br3 Br 0.4440 0.7973 0.0486
Br4 Br 0.6091 0.3311 0.8818
Br5 Br 0.7973 0.0486 0.4440
Br6 Br 0.8818 0.6091 0.3311
```

Output
- Energy: -3.6191 eV/atom

| no. | E_form (uncorrected) (eV/atom) |
| --- | --- |
| 1 | -1.710 |
| 2 | -1.836 |
| 3 | -1.821 |